# Co2CO4 PBE with a Hubbard U relaxed
# Total energy ... -91.90 eV per cell
data_Co2CO4
_space_group_name_H-M_alt 'I -4 2 m'
_space_group_IT_number 121
_space_group_name_Hall 'I -4 2'
_cell_length_a 5.0307
_cell_length_b 5.0307
_cell_length_c 6.2954
_cell_angle_alpha 90.00
_cell_angle_beta 90.00
_cell_angle_gamma 90.00
loop_
_atom_site_label
_atom_site_type_symbol
_atom_site_fract_x
_atom_site_fract_y
_atom_site_fract_z
Co1 Co 0.0000 0.5000 0.0000
C1 C 0.0000 0.0000 0.0000
O1 O 0.1687 0.1687 0.1194